Record 1
## Nd5Ag2Sb (PBE-GGA)

Data for crystalline Nd5Ag2Sb at its relaxed geometry.

**Crystal system**: tetragonal
**Total magnetic moment**: 0.000 μB/f.u.
**Formation energy without anion corrections**: -3.2 eV per formula unit

a b c (Å): 7.9483 7.9483 9.3895
angles (deg): 115.04 115.04 90.00
Last column: nearest neighbours and their distance in Å.
Fractional coordinates of all 16 atoms:
1 Nd 0.9953 0.4953 0.3050  3 Ag 3.25-3.31, 2 Sb 3.34, 2 Nd 3.53-3.60
2 Nd 0.4953 0.3097 0.3050  3 Ag 3.25-3.31, 2 Sb 3.34, 2 Nd 3.53-3.60
3 Nd 0.0000 0.0000 0.0000  4 Ag 3.11
4 Nd 0.1903 0.0047 0.6950  3 Ag 3.25-3.31, 2 Sb 3.34, 2 Nd 3.53-3.60
5 Nd 0.5047 0.6903 0.6950  3 Ag 3.25-3.31, 2 Sb 3.34, 2 Nd 3.53-3.60
6 Nd 0.0047 0.5047 0.6950  3 Ag 3.25-3.31, 2 Sb 3.34, 2 Nd 3.53-3.60
7 Nd 0.6903 0.1903 0.6950  3 Ag 3.25-3.31, 2 Sb 3.34, 2 Nd 3.53-3.60
8 Nd 0.8097 0.9953 0.3050  3 Ag 3.25-3.31, 2 Sb 3.34, 2 Nd 3.53-3.60
9 Nd 0.5000 0.5000 0.0000  4 Ag 3.11
10 Nd 0.3097 0.8097 0.3050  3 Ag 3.25-3.31, 2 Sb 3.34, 2 Nd 3.53-3.60
11 Ag 0.8695 0.6305 0.0000  1 Ag 2.93, 6 Nd 3.11-3.25
12 Ag 0.3695 0.8695 0.0000  1 Ag 2.93, 6 Nd 3.11-3.25
13 Ag 0.6305 0.1305 0.0000  1 Ag 2.93, 6 Nd 3.11-3.25
14 Ag 0.1305 0.3695 0.0000  1 Ag 2.93, 6 Nd 3.11-3.25
15 Sb 0.7500 0.7500 0.5000  8 Nd 3.34
16 Sb 0.2500 0.2500 0.5000  8 Nd 3.34

Record 2
## RbMg3Zr (PBE-GGA)

Data for crystalline RbMg3Zr at its relaxed geometry.

**Crystal system**: cubic
**Total magnetic moment**: 0.476 μB/f.u.
**Calculated formation energy**: 1.517 eV per atom

a b c (Å): 5.4090 5.4090 5.4090
angles (deg): 90.00 90.00 90.00
Last column: nearest neighbours and their distance in Å.
Fractional coordinates of all 5 atoms:
1 Mg 0.0000 0.0000 0.5000  2 Rb 2.70
2 Mg 0.5000 0.0000 0.0000  2 Rb 2.70
3 Mg 0.0000 0.5000 0.0000  2 Rb 2.70
4 Rb 0.0000 0.0000 0.0000  6 Mg 2.70
5 Zr 0.5000 0.5000 0.5000  12 Mg 3.82

Record 3
## SbP2Os (PBE-GGA)

Data for crystalline SbP2Os at its relaxed geometry.

**Crystal system**: tetragonal
**Total magnetic moment**: 0.000 μB/f.u.
**Formation energy without anion corrections**: 3.7 eV per formula unit

a b c (Å): 4.4666 3.8996 3.8996
angles (deg): 90.00 90.00 90.00
Last column: nearest neighbours and their distance in Å.
Fractional coordinates of all 4 atoms:
1 Os 0.5000 0.0000 0.5000  4 Sb 2.76, 8 P 2.96
2 Sb 0.5000 0.5000 0.0000  4 Os 2.76, 8 P 2.96
3 P 0.0000 0.5000 0.5000  4 P 2.76, 4 Sb 2.96, 4 Os 2.96
4 P 0.0000 0.0000 0.0000  4 P 2.76, 4 Sb 2.96, 4 Os 2.96

Record 4
## TaIrAu (PBE-GGA)

Data for crystalline TaIrAu at its relaxed geometry.

**Crystal system**: cubic
**Total magnetic moment**: 0.000 μB/f.u.
**Calculated formation energy**: 0.121 eV per atom

a b c (Å): 4.3730 4.3730 4.3730
angles (deg): 60.00 60.00 60.00
Last column: nearest neighbours and their distance in Å.
Fractional coordinates of all 3 atoms:
1 Au 0.5000 0.5000 0.5000  4 Ir 2.68
2 Ir 0.7500 0.7500 0.7500  4 Ta 2.68, 4 Au 2.68
3 Ta 0.0000 0.0000 0.0000  4 Ir 2.68